Record 1
Entry from Alexandria via LeMat-Bulk: a relaxed structure of Sr2ZnSn2 (PBE).

```
Sr2ZnSn2
1.0
4.889 0.000 1.048
2.405 5.856 0.707
0.288 -0.575 10.589
Sn Sr Zn
4 4 2
direct
0.088 0.265 0.558
0.363 0.153 0.120
0.912 0.735 0.442
0.637 0.847 0.880
0.321 0.691 0.667
0.078 0.738 0.105
0.922 0.262 0.895
0.679 0.309 0.333
0.368 0.913 0.351
0.632 0.087 0.649
```

- Space group: C2/m
- Total moment: 0.0 μB per cell
- ΔE_f: -0.56 eV per atom
- Offset from the most stable computed form: 0 meV/atom



Record 2
Entry from Alexandria via LeMat-Bulk: a relaxed structure of Sr2ZnSn (PBE).

```
Sr2ZnSn
1.0
-3.414 0.279 3.309
-4.004 -3.725 -3.817
4.748 -5.273 5.344
Sr Sn Zn
4 2 2
direct
0.750 0.210 0.420
0.250 0.784 0.064
0.250 0.790 0.580
0.750 0.216 0.936
0.250 0.355 0.714
0.750 0.645 0.286
0.250 0.366 0.216
0.750 0.634 0.784
```

- Space group: P2_1/m
- Total moment: 0.0 μB per cell
- ΔE_f: -0.48 eV per atom



Record 3
Entry from Alexandria via LeMat-Bulk: a relaxed structure of Sr2ZnSn (PBE).

```
Sr2ZnSn
1.0
-6.718 -1.458 3.017
5.635 -4.748 -1.435
-3.255 5.100 4.445
Sr Zn Sn
2 1 1
direct
0.764 0.000 0.764
0.236 0.000 0.236
0.000 0.000 0.000
0.500 0.000 0.500
```

- Space group: Immm
- Total moment: 0.0 μB per cell
- ΔE_f: 0.39 eV per atom



Record 4
Entry from Alexandria via LeMat-Bulk: a relaxed structure of Sr3Zn6Sn5 (PBE).

```
Sr3Zn6Sn5
1.0
-0.256 -2.844 -3.556
10.254 -3.706 2.226
-5.205 -9.577 8.036
Zn Sr Sn
12 6 10
direct
0.000 0.626 0.335
0.500 0.011 0.651
0.000 0.989 0.151
0.000 0.626 0.665
0.000 0.022 0.500
0.500 0.511 0.000
0.000 0.489 0.500
0.500 0.374 0.835
0.500 0.011 0.349
0.500 0.978 0.000
0.500 0.374 0.165
0.000 0.989 0.849
0.500 0.755 0.500
0.500 0.753 0.823
0.500 0.753 0.177
0.000 0.247 0.323
0.000 0.245 0.000
0.000 0.247 0.677
0.500 0.482 0.642
0.500 0.128 0.164
0.500 0.128 0.836
0.500 0.183 0.500
0.000 0.518 0.858
0.000 0.518 0.142
0.000 0.872 0.664
0.000 0.817 0.000
0.500 0.482 0.358
0.000 0.872 0.336
```

- Space group: Pmmn
- Total moment: 0.0 μB per cell
- ΔE_f: -0.34 eV per atom



Record 5
Entry from Alexandria via LeMat-Bulk: a relaxed structure of Sr3Zn4Sn2 (PBE).

```
Sr3Zn4Sn2
1.0
4.679 0.000 0.000
-2.339 5.688 -1.573
0.000 -0.122 9.253
Sr Zn Sn
3 4 2
direct
0.668 0.336 0.668
0.000 0.000 0.000
0.332 0.664 0.332
0.053 0.105 0.396
0.277 0.553 0.953
0.947 0.895 0.604
0.723 0.447 0.047
0.391 0.782 0.726
0.609 0.218 0.274
```

- Space group: C2/m
- Total moment: 0.0 μB per cell
- ΔE_f: -0.42 eV per atom



Record 6
Entry from Alexandria via LeMat-Bulk: a relaxed structure of Sr2ZnSn (PBE).

```
Sr2ZnSn
1.0
5.663 0.000 0.000
0.000 5.663 0.000
2.832 2.832 10.202
Zn Sr Sn
2 4 2
direct
0.500 0.500 0.000
0.250 0.750 0.500
0.619 0.125 0.250
0.875 0.869 0.750
0.131 0.625 0.250
0.375 0.381 0.750
0.000 0.000 0.000
0.750 0.250 0.500
```

- Space group: I-42d
- Total moment: 0.0 μB per cell
- ΔE_f: 0.10 eV per atom



Record 7
Entry from Alexandria via LeMat-Bulk: a relaxed structure of Sr2Zn5Sn3 (PBE).

```
Sr2Zn5Sn3
1.0
-3.457 -1.322 -5.247
-6.929 -5.690 2.069
-7.375 5.483 -0.451
Sn Zn Sr
6 10 4
direct
0.750 0.000 0.000
0.872 0.763 0.494
0.628 0.506 0.237
0.250 0.000 0.000
0.128 0.237 0.506
0.372 0.494 0.763
0.006 0.244 0.244
0.994 0.756 0.756
0.864 0.004 0.268
0.494 0.756 0.756
0.364 0.268 0.004
0.506 0.244 0.244
0.750 0.500 0.500
0.250 0.500 0.500
0.136 0.996 0.732
0.636 0.732 0.996
0.623 0.128 0.625
0.377 0.872 0.375
0.123 0.625 0.128
0.877 0.375 0.872
```

- Space group: Ibam
- Total moment: 0.0 μB per cell
- ΔE_f: -0.34 eV per atom
- Offset from the most stable computed form: 0 meV/atom



Record 8
Entry from Alexandria via LeMat-Bulk: a relaxed structure of SrZn2Sn (PBE).

```
SrZn2Sn
1.0
-4.379 0.716 1.235
-1.268 -0.524 4.396
-0.721 5.477 2.857
Sn Zn Sr
1 2 1
direct
0.000 0.000 0.000
0.279 0.279 0.163
0.721 0.721 0.837
0.500 0.500 0.500
```

- Space group: R-3m
- Total moment: 0.0 μB per cell
- ΔE_f: -0.23 eV per atom



Record 9
Entry from Alexandria via LeMat-Bulk: a relaxed structure of Sr3ZnSn (PBE).

```
Sr3ZnSn
1.0
5.913 0.000 0.000
0.000 5.913 0.000
0.000 0.000 5.913
Sr Zn Sn
3 1 1
direct
0.500 0.000 0.000
0.000 0.500 0.000
0.000 0.000 0.500
0.000 0.000 0.000
0.500 0.500 0.500
```

- Space group: Pm-3m
- Total moment: 0.0 μB per cell
- ΔE_f: -0.03 eV per atom
- Offset from the most stable computed form: 305 meV/atom



Record 10
Entry from Alexandria via LeMat-Bulk: a relaxed structure of SrZn2Sn (PBE).

```
SrZn2Sn
1.0
-3.151 -2.511 2.970
3.718 -0.822 3.249
-1.885 6.412 7.637
Zn Sr Sn
4 2 2
direct
0.875 0.125 0.250
0.875 0.125 0.750
0.875 0.625 0.250
0.375 0.125 0.750
0.250 0.750 0.500
0.500 0.500 0.000
0.000 0.000 0.000
0.750 0.250 0.500
```

- Space group: I4_1/amd
- Total moment: 0.0 μB per cell
- ΔE_f: -0.14 eV per atom



Record 11
Entry from Alexandria via LeMat-Bulk: a relaxed structure of Sr5Zn2Sn5 (PBE).

```
Sr5Zn2Sn5
1.0
4.471 0.000 1.101
2.159 8.606 0.861
-0.089 -0.165 9.995
Sn Sr Zn
5 5 2
direct
0.254 0.679 0.814
0.000 0.000 0.000
0.945 0.774 0.336
0.746 0.321 0.186
0.055 0.226 0.664
0.299 0.077 0.325
0.388 0.299 0.926
0.701 0.923 0.675
0.612 0.701 0.074
0.500 0.500 0.500
0.140 0.478 0.241
0.860 0.522 0.759
```

- Space group: C2/m
- Total moment: 0.0 μB per cell
- ΔE_f: -0.52 eV per atom



Record 12
Entry from Alexandria via LeMat-Bulk: a relaxed structure of SrZn2Sn4 (PBE).

```
SrZn2Sn4
1.0
4.866 0.000 0.000
0.000 4.944 0.000
0.000 -2.472 7.708
Sr Sn Zn
1 4 2
direct
0.000 0.000 0.000
0.500 0.176 0.351
0.000 0.316 0.633
0.000 0.684 0.367
0.500 0.824 0.649
0.500 0.580 0.160
0.500 0.420 0.840
```

- Space group: Cmmm
- Total moment: 0.0 μB per cell
- ΔE_f: -0.13 eV per atom



Record 13
Entry from Alexandria via LeMat-Bulk: a relaxed structure of Sr2Zn3Sn5 (PBE).

```
Sr2Zn3Sn5
1.0
5.037 0.000 0.000
0.000 5.037 0.000
0.000 0.000 10.901
Sn Zn Sr
5 3 2
direct
0.000 0.500 0.152
0.500 0.500 0.000
0.500 0.000 0.848
0.500 0.500 0.500
0.000 0.000 0.000
0.000 0.500 0.397
0.500 0.000 0.603
0.000 0.000 0.500
0.000 0.500 0.729
0.500 0.000 0.271
```

- Space group: P-4m2
- Total moment: 0.0 μB per cell
- ΔE_f: -0.23 eV per atom
- Offset from the most stable computed form: 84 meV/atom



Record 14
Entry from Alexandria via LeMat-Bulk: a relaxed structure of Sr8ZnSn2 (PBE).

```
Sr8ZnSn2
1.0
5.620 0.000 0.000
0.000 7.916 0.235
-2.810 -3.102 9.934
Zn Sr Sn
1 8 2
direct
0.500 0.000 0.000
0.660 0.958 0.320
0.340 0.042 0.680
0.792 0.694 0.583
0.405 0.559 0.810
0.032 0.789 0.063
0.208 0.306 0.417
0.595 0.441 0.190
0.968 0.211 0.937
0.191 0.717 0.381
0.809 0.283 0.619
```

- Space group: C2/m
- Total moment: 0.0 μB per cell
- ΔE_f: -0.32 eV per atom



Record 15
Entry from Alexandria via LeMat-Bulk: a relaxed structure of Sr3Zn2Sn3 (PBE).

```
Sr3Zn2Sn3
1.0
-4.162 -1.839 1.200
1.781 -1.923 -5.998
7.826 -13.391 6.618
Sr Zn Sn
6 4 6
direct
0.866 0.732 0.400
0.424 0.847 0.750
0.866 0.732 0.100
0.134 0.268 0.900
0.134 0.268 0.600
0.576 0.153 0.250
0.154 0.307 0.380
0.846 0.693 0.880
0.846 0.693 0.620
0.154 0.307 0.120
0.407 0.814 0.552
0.593 0.186 0.052
0.708 0.415 0.750
0.407 0.814 0.948
0.593 0.186 0.448
0.292 0.585 0.250
```

- Space group: Cmcm
- Total moment: 0.0 μB per cell
- ΔE_f: -0.50 eV per atom



Record 16
Entry from Alexandria via LeMat-Bulk: a relaxed structure of Sr2Zn3Sn5 (PBE).

```
Sr2Zn3Sn5
1.0
6.475 0.000 2.450
2.648 8.756 2.784
0.086 0.296 9.556
Zn Sn Sr
6 10 4
direct
0.250 0.000 0.000
0.124 0.248 0.505
0.624 0.505 0.248
0.376 0.495 0.752
0.876 0.752 0.495
0.750 0.000 0.000
0.006 0.744 0.744
0.994 0.256 0.256
0.494 0.256 0.256
0.250 0.500 0.500
0.112 0.023 0.753
0.506 0.744 0.744
0.750 0.500 0.500
0.888 0.977 0.247
0.388 0.247 0.977
0.612 0.753 0.023
0.373 0.883 0.370
0.127 0.630 0.117
0.873 0.370 0.883
0.627 0.117 0.630
```

- Space group: Ibam
- Total moment: 0.0 μB per cell
- ΔE_f: -0.31 eV per atom
- Offset from the most stable computed form: 0 meV/atom



Record 17
Entry from Alexandria via LeMat-Bulk: a relaxed structure of Sr2Zn3Sn (PBE).

```
Sr2Zn3Sn
1.0
6.076 0.659 -1.599
-1.781 5.846 -1.599
-0.452 -0.685 9.100
Zn Sn Sr
6 2 4
direct
0.837 0.837 0.674
0.163 0.163 0.326
0.326 0.834 0.160
0.166 0.674 0.840
0.834 0.326 0.160
0.674 0.166 0.840
0.664 0.664 0.329
0.336 0.336 0.671
0.750 0.250 0.500
0.250 0.750 0.500
0.240 0.240 0.000
0.760 0.760 0.000
```

- Space group: Fmmm
- Total moment: 0.0 μB per cell
- ΔE_f: -0.37 eV per atom



Record 18
Entry from Alexandria via LeMat-Bulk: a relaxed structure of Sr2Zn5Sn3 (PBE).

```
Sr2Zn5Sn3
1.0
4.620 0.000 0.000
0.000 4.620 0.000
0.000 0.000 11.469
Sn Zn Sr
3 5 2
direct
0.000 0.500 0.341
0.000 0.000 0.500
0.500 0.000 0.659
0.500 0.500 0.000
0.000 0.500 0.104
0.500 0.000 0.896
0.500 0.500 0.500
0.000 0.000 0.000
0.500 0.000 0.223
0.000 0.500 0.777
```

- Space group: P-4m2
- Total moment: 0.0 μB per cell
- ΔE_f: -0.24 eV per atom
- Offset from the most stable computed form: 99 meV/atom



Record 19
Entry from Alexandria via LeMat-Bulk: a relaxed structure of SrZn3Sn3 (PBE).

```
SrZn3Sn3
1.0
-2.766 5.588 2.566
-2.467 -0.035 6.276
6.104 4.313 6.046
Sn Zn Sr
6 6 2
direct
0.229 0.754 0.766
0.251 0.229 0.766
0.246 0.749 0.234
0.749 0.771 0.234
0.754 0.251 0.766
0.771 0.246 0.234
0.930 0.343 0.443
0.070 0.657 0.557
0.715 0.070 0.557
0.343 0.285 0.443
0.657 0.715 0.557
0.285 0.930 0.443
0.700 0.700 0.900
0.300 0.300 0.100
```

- Space group: R-3
- Total moment: 0.0 μB per cell
- ΔE_f: -0.19 eV per atom
- Offset from the most stable computed form: 0 meV/atom



Record 20
Entry from Alexandria via LeMat-Bulk: a relaxed structure of Sr3Zn2Sn2 (PBE).

```
Sr3Zn2Sn2
1.0
4.532 0.000 -0.979
-0.248 4.744 -1.150
-0.150 -0.033 10.286
Zn Sn Sr
2 2 3
direct
0.436 0.436 0.872
0.564 0.564 0.128
0.863 0.363 0.726
0.137 0.637 0.274
0.000 0.000 0.000
0.682 0.182 0.364
0.318 0.818 0.636
```

- Space group: Immm
- Total moment: 0.0 μB per cell
- ΔE_f: -0.51 eV per atom